# TiGaPd6 GGA-PBE relaxed
# E above lowest polymorph: 312.4 meV/atom
# symmetry: C2/m (12)
# crystal system: monoclinic
# spin magnetization: 0.000 μB/f.u.
# E: -44.23 eV per formula unit
# formation energy: -0.27 eV/atom
data_TiGaPd6
_cell_length_a 4.634
_cell_length_b 4.634
_cell_length_c 7.206
_cell_angle_alpha 72.84
_cell_angle_beta 72.84
_cell_angle_gamma 71.51
_space_group_name_H-M_alt 'P 1'
_space_group_IT_number 1
_space_group_name_Hall 'P 1'
loop_
_atom_site_label
_atom_site_type_symbol
_atom_site_fract_x
_atom_site_fract_y
_atom_site_fract_z
Pd1 Pd 0.064 0.550 0.301
Ti1 Ti 0.500 0.500 0.500
Pd2 Pd 0.652 0.652 0.060
Pd3 Pd 0.450 0.936 0.699
Pd4 Pd 0.936 0.450 0.699
Pd5 Pd 0.348 0.348 0.940
Pd6 Pd 0.550 0.064 0.301
Ga1 Ga 0.000 0.000 0.000